Record 1
A plane-wave DFT calculation with PBE was carried out for a relaxed TbTh2Pt4 crystal.

POSCAR file:
```
TbTh2Pt4
1.0
7.139 0.346 -2.249
-3.750 6.084 -2.250
-0.185 -0.349 7.482
Tb Pt Th
2 8 4
Direct
0.250 0.750 0.500
0.000 0.000 0.000
0.877 0.790 0.246
0.373 0.119 0.413
0.544 0.631 0.753
0.040 0.627 0.746
0.369 0.123 0.913
0.706 0.960 0.587
0.210 0.456 0.087
0.881 0.294 0.254
0.750 0.375 0.875
0.500 0.875 0.125
0.125 0.250 0.625
0.625 0.500 0.375
```

The energy comes out at -7.44 eV/atom. The density of states at the Fermi level is 8.81 states/eV/cell. For the magnetization, the calculation gives 0.00 μB per cell. The value obtained for the calculated density is 14.395 g/cm3.

Record 2
A plane-wave DFT calculation with PBE was carried out for a relaxed TbThPt2 crystal.

POSCAR file:
```
TbThPt2
1.0
-3.367 0.955 2.741
2.757 -2.772 4.352
2.107 7.372 0.021
Pt Th Tb
4 2 2
Direct
0.250 0.693 0.051
0.750 0.316 0.456
0.750 0.307 0.949
0.250 0.684 0.544
0.250 0.234 0.186
0.750 0.766 0.814
0.750 0.784 0.323
0.250 0.216 0.677
```

The energy comes out at -7.31 eV/atom. The density of states at the Fermi level is 5.15 states/eV/cell. For the magnetization, the calculation gives 0.00 μB per cell. The value obtained for the calculated density is 13.751 g/cm3.

Record 3
A plane-wave DFT calculation with PBE was carried out for a relaxed TbThPt crystal.

POSCAR file:
```
TbThPt
1.0
-3.325 3.509 -1.118
-3.453 1.294 3.320
0.229 4.432 2.219
Th Pt Tb
1 1 1
Direct
0.500 0.500 0.500
0.250 0.250 0.250
0.000 0.000 0.000
```

The energy comes out at -6.69 eV/atom. The density of states at the Fermi level is 3.49 states/eV/cell. For the magnetization, the calculation gives 0.00 μB per cell. The value obtained for the calculated density is 11.269 g/cm3.

Record 4
A plane-wave DFT calculation with PBE was carried out for a relaxed TbThPt4 crystal.

POSCAR file:
```
TbThPt4
1.0
5.493 0.000 0.000
2.746 4.757 0.000
2.746 1.586 4.485
Pt Th Tb
4 1 1
Direct
0.625 0.126 0.625
0.625 0.625 0.126
0.625 0.625 0.625
0.126 0.625 0.625
0.000 0.000 0.000
0.250 0.250 0.250
```

The energy comes out at -7.12 eV/atom. The density of states at the Fermi level is 4.82 states/eV/cell. For the magnetization, the calculation gives 0.00 μB per cell. The value obtained for the calculated density is 16.598 g/cm3.

Record 5
A plane-wave DFT calculation with PBE was carried out for a relaxed Tb2ThPt2 crystal.

POSCAR file:
```
Tb2ThPt2
1.0
-2.275 -2.142 -2.277
3.280 0.069 -3.343
6.708 -10.403 6.368
Th Tb Pt
2 4 4
Direct
0.637 0.750 0.274
0.363 0.250 0.726
0.264 0.750 0.529
0.950 0.750 0.899
0.050 0.250 0.101
0.736 0.250 0.471
0.843 0.750 0.685
0.157 0.250 0.315
0.535 0.750 0.069
0.465 0.250 0.931
```

The energy comes out at -6.74 eV/atom. The density of states at the Fermi level is 6.40 states/eV/cell. For the magnetization, the calculation gives 0.00 μB per cell. The value obtained for the calculated density is 12.505 g/cm3.

Record 6
A plane-wave DFT calculation with PBE was carried out for a relaxed TbTh2Pt2 crystal.

POSCAR file:
```
TbTh2Pt2
1.0
3.881 0.000 0.000
0.000 8.086 0.000
0.000 0.000 8.086
Pt Th Tb
4 4 2
Direct
0.000 0.131 0.369
0.000 0.869 0.631
0.000 0.631 0.131
0.000 0.369 0.869
0.500 0.169 0.669
0.500 0.831 0.331
0.500 0.669 0.831
0.500 0.331 0.169
0.000 0.000 0.000
0.000 0.500 0.500
```

The energy comes out at -7.32 eV/atom. The density of states at the Fermi level is 10.91 states/eV/cell. For the magnetization, the calculation gives 0.00 μB per cell. The value obtained for the calculated density is 13.262 g/cm3.

Record 7
A plane-wave DFT calculation with PBE was carried out for a relaxed Tb2Th2Pt3 crystal.

POSCAR file:
```
Tb2Th2Pt3
1.0
-3.184 2.283 -1.325
-7.108 -5.611 0.959
-3.587 3.891 8.870
Pt Th Tb
6 4 4
Direct
0.350 0.782 0.517
0.820 0.451 0.908
0.920 0.017 0.144
0.180 0.549 0.092
0.080 0.983 0.856
0.650 0.218 0.483
0.698 0.941 0.663
0.581 0.787 0.051
0.419 0.213 0.949
0.302 0.059 0.337
0.297 0.623 0.784
0.703 0.377 0.216
0.982 0.684 0.353
0.018 0.316 0.647
```

The energy comes out at -7.05 eV/atom. The density of states at the Fermi level is 14.77 states/eV/cell. For the magnetization, the calculation gives 0.00 μB per cell. The value obtained for the calculated density is 12.282 g/cm3.

Record 8
A plane-wave DFT calculation with PBE was carried out for a relaxed TbThPt crystal.

POSCAR file:
```
TbThPt
1.0
5.141 0.000 -0.299
0.000 5.124 0.000
-2.226 0.000 6.012
Pt Th Tb
2 2 2
Direct
0.258 0.750 0.516
0.742 0.250 0.484
0.397 0.250 0.795
0.603 0.750 0.205
0.107 0.250 0.215
0.893 0.750 0.785
```

The energy comes out at -6.75 eV/atom. The density of states at the Fermi level is 5.97 states/eV/cell. For the magnetization, the calculation gives 0.00 μB per cell. The value obtained for the calculated density is 12.557 g/cm3.